Entry 1:
# Cd2Hg13As8Cl12 | Alexandria via LeMat-Bulk | GGA-PBEsol | optimized geometry
data_Cd2Hg13As8Cl12
_space_group_name_H-M_alt 'P 1 21/c 1'
_space_group_IT_number 14
_space_group_name_Hall '-P 2ybc'
_cell_length_a 12.1856
_cell_length_b 12.1834
_cell_length_c 12.1851
_cell_angle_alpha 90.00
_cell_angle_beta 90.19
_cell_angle_gamma 90.00
loop_
_atom_site_label
_atom_site_fract_x
_atom_site_fract_y
_atom_site_fract_z
_atom_site_occupancy
Cd1 0.0000 0.0000 0.0000 1
Cd2 0.5000 0.0000 0.5000 1
Hg1 0.0000 0.0000 0.5000 1
Hg2 0.0313 0.1996 0.2799 1
Hg3 0.2008 0.7222 0.9675 1
Hg4 0.2219 0.0314 0.7010 1
Hg5 0.2762 0.5304 0.7010 1
Hg6 0.2989 0.2236 0.9709 1
Hg7 0.4696 0.7021 0.2745 1
As1 0.1631 0.6628 0.1617 1
As2 0.2226 0.2227 0.7787 1
As3 0.2775 0.7225 0.7763 1
As4 0.3366 0.1637 0.1648 1
Cl1 0.0361 0.2090 0.0425 1
Cl2 0.0400 0.5373 0.7095 1
Cl3 0.2108 0.5405 0.4647 1
Cl4 0.2908 0.0406 0.4636 1
Cl5 0.4588 0.0345 0.7105 1
Cl6 0.4647 0.7112 0.0389 1
# size of the total moment = 0.0 μB/cell
# final energy = -2.570 eV/atom


Entry 2:
# CdAsI2Cl | Alexandria via LeMat-Bulk | GGA-PBEsol | optimized geometry
data_CdAsI2Cl
_space_group_name_H-M_alt 'P 4/m m m'
_space_group_IT_number 123
_space_group_name_Hall '-P 4 2'
_cell_length_a 6.2407
_cell_length_b 6.2407
_cell_length_c 4.5312
_cell_angle_alpha 90.00
_cell_angle_beta 90.00
_cell_angle_gamma 90.00
loop_
_atom_site_label
_atom_site_fract_x
_atom_site_fract_y
_atom_site_fract_z
_atom_site_occupancy
Cd1 0.0000 0.0000 0.0000 1
As1 0.5000 0.5000 0.0000 1
I1 0.0000 0.5000 0.5000 1
Cl1 0.5000 0.5000 0.5000 1
# size of the total moment = 0.0 μB/cell
# final energy = -1.700 eV/atom


Entry 3:
# CdAsPCl2 | Alexandria via LeMat-Bulk | GGA-PBEsol | optimized geometry
data_CdAsPCl2
_space_group_name_H-M_alt 'P 4/m m m'
_space_group_IT_number 123
_space_group_name_Hall '-P 4 2'
_cell_length_a 4.8579
_cell_length_b 4.8579
_cell_length_c 5.2634
_cell_angle_alpha 90.00
_cell_angle_beta 90.00
_cell_angle_gamma 90.00
loop_
_atom_site_label
_atom_site_fract_x
_atom_site_fract_y
_atom_site_fract_z
_atom_site_occupancy
Cd1 0.0000 0.0000 0.0000 1
As1 0.5000 0.5000 0.5000 1
P1 0.0000 0.0000 0.5000 1
Cl1 0.0000 0.5000 0.0000 1
# size of the total moment = 0.5 μB/cell
# final energy = -2.704 eV/atom


Entry 4:
# CdAsPbCl2 | Alexandria via LeMat-Bulk | GGA-PBEsol | optimized geometry
data_CdAsPbCl2
_space_group_name_H-M_alt 'P 4/m m m'
_space_group_IT_number 123
_space_group_name_Hall '-P 4 2'
_cell_length_a 4.8515
_cell_length_b 4.8515
_cell_length_c 5.9714
_cell_angle_alpha 90.00
_cell_angle_beta 90.00
_cell_angle_gamma 90.00
loop_
_atom_site_label
_atom_site_fract_x
_atom_site_fract_y
_atom_site_fract_z
_atom_site_occupancy
Cd1 0.0000 0.0000 0.0000 1
As1 0.5000 0.5000 0.5000 1
Pb1 0.5000 0.5000 0.0000 1
Cl1 0.0000 0.5000 0.5000 1
# size of the total moment = 0.0 μB/cell
# final energy = -2.920 eV/atom


Entry 5:
# CdAsPt2Cl | Alexandria via LeMat-Bulk | GGA-PBEsol | optimized geometry
data_CdAsPt2Cl
_space_group_name_H-M_alt 'P 4/m m m'
_space_group_IT_number 123
_space_group_name_Hall '-P 4 2'
_cell_length_a 4.5029
_cell_length_b 4.5029
_cell_length_c 4.9246
_cell_angle_alpha 90.00
_cell_angle_beta 90.00
_cell_angle_gamma 90.00
loop_
_atom_site_label
_atom_site_fract_x
_atom_site_fract_y
_atom_site_fract_z
_atom_site_occupancy
Cd1 0.0000 0.0000 0.0000 1
As1 0.5000 0.5000 0.0000 1
Pt1 0.0000 0.5000 0.5000 1
Cl1 0.5000 0.5000 0.5000 1
# size of the total moment = 0.0 μB/cell
# final energy = -3.497 eV/atom


Entry 6:
# CdAsSe2Cl | Alexandria via LeMat-Bulk | GGA-PBEsol | optimized geometry
data_CdAsSe2Cl
_space_group_name_H-M_alt 'P 4/m m m'
_space_group_IT_number 123
_space_group_name_Hall '-P 4 2'
_cell_length_a 4.8776
_cell_length_b 4.8776
_cell_length_c 4.9164
_cell_angle_alpha 90.00
_cell_angle_beta 90.00
_cell_angle_gamma 90.00
loop_
_atom_site_label
_atom_site_fract_x
_atom_site_fract_y
_atom_site_fract_z
_atom_site_occupancy
Cd1 0.0000 0.0000 0.0000 1
As1 0.5000 0.5000 0.0000 1
Se1 0.0000 0.5000 0.5000 1
Cl1 0.5000 0.5000 0.5000 1
# size of the total moment = 0.0 μB/cell
# final energy = -2.404 eV/atom


Entry 7:
# ZrCd2AsCl | Alexandria via LeMat-Bulk | GGA-PBEsol | optimized geometry
data_ZrCd2AsCl
_space_group_name_H-M_alt 'P 4/m m m'
_space_group_IT_number 123
_space_group_name_Hall '-P 4 2'
_cell_length_a 5.1187
_cell_length_b 5.1187
_cell_length_c 5.0883
_cell_angle_alpha 90.00
_cell_angle_beta 90.00
_cell_angle_gamma 90.00
loop_
_atom_site_label
_atom_site_fract_x
_atom_site_fract_y
_atom_site_fract_z
_atom_site_occupancy
Zr1 0.0000 0.0000 0.0000 1
Cd1 0.0000 0.5000 0.5000 1
As1 0.0000 0.0000 0.5000 1
Cl1 0.5000 0.5000 0.0000 1
# size of the total moment = 0.0 μB/cell
# final energy = -3.513 eV/atom


Entry 8:
# CdCoAs2 | Alexandria via LeMat-Bulk | GGA-PBEsol | optimized geometry
data_CdCoAs2
_space_group_name_H-M_alt 'I 4/m m m'
_space_group_IT_number 139
_space_group_name_Hall '-I 4 2'
_cell_length_a 4.2744
_cell_length_b 4.2744
_cell_length_c 7.1182
_cell_angle_alpha 90.00
_cell_angle_beta 90.00
_cell_angle_gamma 90.00
loop_
_atom_site_label
_atom_site_fract_x
_atom_site_fract_y
_atom_site_fract_z
_atom_site_occupancy
Cd1 0.0000 0.0000 0.0000 1
Co1 0.0000 0.0000 0.5000 1
As1 0.0000 0.5000 0.2500 1
# formation energy from the elements = 1.4 eV/f.u.
# size of the total moment = 0.0 μB/cell
# final energy = -4.447 eV/atom


Entry 9:
# CdCoAs2 | Alexandria via LeMat-Bulk | GGA-PBEsol | optimized geometry
data_CdCoAs2
_space_group_name_H-M_alt 'P m m 2'
_space_group_IT_number 25
_space_group_name_Hall 'P 2 -2'
_cell_length_a 3.0029
_cell_length_b 3.0129
_cell_length_c 7.9117
_cell_angle_alpha 90.00
_cell_angle_beta 90.00
_cell_angle_gamma 90.00
loop_
_atom_site_label
_atom_site_fract_x
_atom_site_fract_y
_atom_site_fract_z
_atom_site_occupancy
Cd1 0.0000 0.0000 0.0000 1
Co1 0.5000 0.5000 0.4589 1
As1 0.0000 0.0000 0.3370 1
As2 0.5000 0.5000 0.7468 1
# formation energy from the elements = 0.3 eV/f.u.
# size of the total moment = 0.0 μB/cell
# final energy = -4.716 eV/atom


Entry 10:
# Cd2CoAs | Alexandria via LeMat-Bulk | GGA-PBEsol | optimized geometry
data_Cd2CoAs
_space_group_name_H-M_alt 'I 4/m m m'
_space_group_IT_number 139
_space_group_name_Hall '-I 4 2'
_cell_length_a 3.9166
_cell_length_b 3.9166
_cell_length_c 8.7042
_cell_angle_alpha 90.00
_cell_angle_beta 90.00
_cell_angle_gamma 90.00
loop_
_atom_site_label
_atom_site_fract_x
_atom_site_fract_y
_atom_site_fract_z
_atom_site_occupancy
Cd1 0.0000 0.5000 0.2500 1
Co1 0.0000 0.0000 0.0000 1
As1 0.0000 0.0000 0.5000 1
# formation energy from the elements = 1.2 eV/f.u.
# size of the total moment = 2.1 μB/cell
# final energy = -3.500 eV/atom


Entry 11:
# Cd2CoAs | Alexandria via LeMat-Bulk | GGA-PBEsol | optimized geometry
data_Cd2CoAs
_space_group_name_H-M_alt 'R 3 m'
_space_group_IT_number 160
_space_group_name_Hall 'R 3 -2"'
_cell_length_a 3.0609
_cell_length_b 3.0609
_cell_length_c 25.8334
_cell_angle_alpha 90.00
_cell_angle_beta 90.00
_cell_angle_gamma 120.00
loop_
_atom_site_label
_atom_site_fract_x
_atom_site_fract_y
_atom_site_fract_z
_atom_site_occupancy
Cd1 0.0000 0.0000 0.0000 1
Cd2 0.0000 0.0000 0.2346 1
Co1 0.0000 0.0000 0.7459 1
As1 0.0000 0.0000 0.4673 1
# formation energy from the elements = 0.1 eV/f.u.
# size of the total moment = 0.0 μB/cell
# final energy = -3.789 eV/atom


Entry 12:
# Cd2CoAs | Alexandria via LeMat-Bulk | GGA-PBEsol | optimized geometry
data_Cd2CoAs
_space_group_name_H-M_alt 'C m m m'
_space_group_IT_number 65
_space_group_name_Hall '-C 2 2'
_cell_length_a 5.3593
_cell_length_b 8.1432
_cell_length_c 3.1384
_cell_angle_alpha 90.00
_cell_angle_beta 90.00
_cell_angle_gamma 90.00
loop_
_atom_site_label
_atom_site_fract_x
_atom_site_fract_y
_atom_site_fract_z
_atom_site_occupancy
Cd1 0.2500 0.2500 0.0000 1
Co1 0.0000 0.0000 0.5000 1
As1 0.0000 0.5000 0.5000 1
# formation energy from the elements = 1.4 eV/f.u.
# size of the total moment = 2.3 μB/cell
# final energy = -3.453 eV/atom